[1]
Crystalline Dy12Cu6Sb at its relaxed geometry, computed with GGA-PBE.

Lattice parameters (Å, degrees): 8.544 8.544 8.544 109.47 109.47 109.47
Fractional positions:
Dy 0.301 0.113 0.812
Dy 0.301 0.489 0.188
Dy 0.699 0.511 0.812
Dy 0.699 0.887 0.188
Dy 0.113 0.812 0.301
Dy 0.489 0.188 0.301
Dy 0.511 0.812 0.699
Dy 0.887 0.188 0.699
Dy 0.812 0.301 0.113
Dy 0.188 0.301 0.489
Dy 0.812 0.699 0.511
Dy 0.188 0.699 0.887
Cu 0.376 0.500 0.876
Cu 0.624 0.500 0.124
Cu 0.500 0.876 0.376
Cu 0.500 0.124 0.624
Cu 0.876 0.376 0.500
Cu 0.124 0.624 0.500
Sb 0.000 0.000 0.000

Properties
Formation energy from raw total energies, kJ/mol of atoms: -23.5
Crystal system: cubic

***

[2]
Crystalline Pr2HgPt at its relaxed geometry, computed with GGA-PBE.

Lattice parameters (Å, degrees): 4.286 4.286 8.016 74.49 74.49 60.00
Fractional positions:
Pr 0.069 0.069 0.792
Pr 0.264 0.264 0.207
Hg 0.500 0.500 0.499
Pt 0.666 0.666 0.003

Properties
Formation energy from the elements, meV/atom: -716
Crystal system: trigonal

***

[3]
Crystalline CoOs3Cl at its relaxed geometry, computed with GGA-PBE.

Lattice parameters (Å, degrees): 4.538 4.538 4.538 90.00 90.00 90.00
Last column: magnetic moment on the atom in μB.
Fractional positions:
Co 0.000 0.000 0.000  1.20
Os 0.000 0.500 0.000  1.48
Os 0.000 0.000 0.500  1.60
Os 0.500 0.000 0.000  1.18
Cl 0.500 0.500 0.500  0.27

Properties
Formation energy from raw total energies, kJ/mol of atoms: 223.1
Crystal system: cubic

***

[4]
Crystalline HoThAlTl at its relaxed geometry, computed with GGA-PBE.

Lattice parameters (Å, degrees): 5.332 5.332 5.332 60.00 60.00 60.00
Fractional positions:
Tl 0.000 0.000 0.000
Ho 0.750 0.750 0.750
Th 0.250 0.250 0.250
Al 0.500 0.500 0.500

Properties
Formation energy from the elements, meV/atom: -191
Crystal system: cubic

***

[5]
Crystalline SrLi2Si at its relaxed geometry, computed with GGA-PBE.

Lattice parameters (Å, degrees): 5.044 5.044 5.044 120.14 120.14 89.76
Fractional positions:
Li 0.000 0.000 0.000
Li 0.250 0.750 0.500
Si 0.500 0.500 0.000
Sr 0.750 0.250 0.500

Properties
Formation energy from raw total energies, kJ/mol of atoms: -15.2
Crystal system: tetragonal

***

[6]
Crystalline NaPa3S2O6 at its relaxed geometry, computed with GGA-PBE.

Lattice parameters (Å, degrees): 5.610 7.465 7.204 121.21 76.55 90.00
Fractional positions:
Na 0.500 0.000 0.000
Pa 0.000 0.500 0.000
Pa 0.500 0.500 0.500
Pa 0.500 0.000 0.500
S 0.201 0.685 0.369
S 0.799 0.315 0.631
O 0.752 0.385 0.176
O 0.248 0.615 0.824
O 0.594 0.813 0.625
O 0.406 0.187 0.375
O 0.248 0.209 0.824
O 0.752 0.791 0.176

Properties
Formation energy from raw total energies, kJ/mol of atoms: -278.8
Crystal system: monoclinic

***

[7]
Crystalline GaPd3Rh at its relaxed geometry, computed with GGA-PBE.

Lattice parameters (Å, degrees): 4.563 4.563 4.563 90.00 90.00 90.00
Last column: magnetic moment on the atom in μB.
Fractional positions:
Rh 0.500 0.500 0.500  1.29
Ga 0.000 0.000 0.000  0.01
Pd 0.000 0.500 0.000  0.04
Pd 0.000 0.000 0.500  0.08
Pd 0.500 0.000 0.000  0.10

Properties
Formation energy from the elements, meV/atom: 624
Crystal system: cubic

***

[8]
Crystalline HgIF at its relaxed geometry, computed with GGA-PBE.

Lattice parameters (Å, degrees): 4.782 6.268 6.692 90.00 110.27 90.00
Fractional positions:
I 0.664 0.655 0.328
I 0.336 0.155 0.672
Hg 0.705 0.906 0.998
Hg 0.295 0.406 0.002
F 0.933 0.660 0.849
F 0.067 0.160 0.151

Properties
Formation energy from raw total energies, kJ/mol of atoms: -82.4
Crystal system: monoclinic